Compound: PrMn3Cr4O12
Source: Alexandria
Functional: PBE with a Hubbard U
Structure: optimized geometry

Cell: 6.5131 6.5131 6.5131 Å, 109.47 109.47 109.47°
Closest atoms and distances in Å follow each position.
Positions (direct):
O 0.6926 0.1751 0.8677  1 Mn 1.96, 2 Cr 2.01
O 0.8249 0.5175 0.6926  1 Mn 1.96, 2 Cr 2.01
O 0.8249 0.1323 0.3074  1 Mn 1.96, 2 Cr 2.01
O 0.1751 0.8677 0.6926  1 Mn 1.96, 2 Cr 2.01
O 0.6926 0.8249 0.5175  1 Mn 1.96, 2 Cr 2.01
O 0.1323 0.3074 0.8249  1 Mn 1.96, 2 Cr 2.01
O 0.1751 0.4825 0.3074  1 Mn 1.96, 2 Cr 2.01
O 0.3074 0.8249 0.1323  1 Mn 1.96, 2 Cr 2.01
O 0.4825 0.3074 0.1751  1 Mn 1.96, 2 Cr 2.01
O 0.3074 0.1751 0.4825  1 Mn 1.96, 2 Cr 2.01
O 0.8677 0.6926 0.1751  1 Mn 1.96, 2 Cr 2.01
O 0.5175 0.6926 0.8249  1 Mn 1.96, 2 Cr 2.01
Mn 0.5000 0.0000 0.5000  4 O 1.96
Mn 0.0000 0.5000 0.5000  4 O 1.96
Mn 0.5000 0.5000 0.0000  4 O 1.96
Cr 0.0000 0.0000 0.5000  6 O 2.01
Cr 0.5000 0.0000 0.0000  6 O 2.01
Cr 0.5000 0.5000 0.5000  6 O 2.01
Cr 0.0000 0.5000 0.0000  6 O 2.01
Pr 0.0000 0.0000 0.0000  12 O 2.66

Calculated values
Final energy in Ry per atom: -0.57813
Space group: No. 204
Volume in Å³ per atom: 10.6